{
  "formula": "ZrTlS2",
  "functional": "PBE",
  "state": "relaxed",
  "cell": [[8.586, 0.000, 0.000], [0.000, 3.558, 0.000], [0.000, 0.000, 14.741]],
  "species": ["Zr", "Zr", "Zr", "Zr", "S", "S", "S", "S", "S", "S", "S", "S", "Tl", "Tl", "Tl", "Tl"],
  "fractional_positions": [[0.481, 0.750, 0.598], [0.019, 0.250, 0.098], [0.981, 0.750, 0.902], [0.519, 0.250, 0.402], [0.181, 0.250, 0.956], [0.127, 0.750, 0.203], [0.627, 0.750, 0.297], [0.681, 0.250, 0.544], [0.873, 0.250, 0.797], [0.319, 0.750, 0.456], [0.373, 0.250, 0.703], [0.819, 0.750, 0.044], [0.952, 0.750, 0.381], [0.452, 0.750, 0.119], [0.048, 0.250, 0.619], [0.548, 0.250, 0.881]],
  "density_g_cm3": 5.3,
  "e_tot_ev_per_cell": -92.7,
  "formation_energy_uncorrected_mev_per_atom": -1001.2,
  "space_group": "Pnma",
  "magmom_total_mub_per_fu": 0.411
}